DFT (PBE) results for crystalline ScSbSeBr2 at its relaxed geometry.

The calculation puts the electronic total energy at -4.0599 eV per atom. The energy relative to the lowest polymorph listed for this composition comes out at 0.000 eV per atom. As for the uncorrected formation energy: -0.60 eV/atom. For the density of states at the Fermi level, the calculation gives 1.667 states/eV per cell. The value obtained for the spin magnetization is 2.0 μB/cell.

The space group is P4/mmm (No. 123) and the conventional cell measures 5.201, 5.201 and 5.489 Å, with angles of 90.00, 90.00 and 90.00 degrees. Symmetry generates all atoms from Sc at (0.000, 0.000, 0.000), Sb at (0.500, 0.500, 0.500), Se at (0.000, 0.000, 0.500) and Br at (0.000, 0.500, 0.000).

DFT (PBE) results for crystalline K3RbAu at its relaxed geometry.

The calculation puts the electronic total energy at -1.5879 eV per atom. The formation energy is -80 meV per atom. The energy relative to the lowest polymorph listed for this composition comes out at 0.053 eV per atom. For the density of states at the Fermi level, the calculation gives 16.009 states/eV per cell. The value obtained for the spin magnetization is 0.0 μB/cell.

The space group is R-3 (No. 148, hexagonal axes) and the conventional cell measures 9.7720, 9.7720 and 21.4687 Å, with angles of 90.00, 90.00 and 120.00 degrees. Symmetry generates all atoms from K at (0.0497, 0.6150, 0.0741), Rb at (0.0000, 0.0000, 0.1318) and Au at (0.0000, 0.0000, 0.3009).

DFT (PBE) results for crystalline BeZn2Ga2 at its relaxed geometry.

The calculation puts the electronic total energy at -2.2088 eV per atom. The formation energy is 257 meV per atom. The energy relative to the lowest polymorph listed for this composition comes out at 0.012 eV per atom. For the density of states at the Fermi level, the calculation gives 2.285 states/eV per cell. The value obtained for the spin magnetization is 0.0 μB/cell.

The space group is P4/mbm (No. 127) and the conventional cell measures 6.295, 6.295 and 3.997 Å, with angles of 90.00, 90.00 and 90.00 degrees. Symmetry generates all atoms from Be at (0.000, 0.000, 0.000), Zn at (0.152, 0.348, 0.000) and Ga at (0.160, 0.660, 0.500).

DFT (PBE) results for crystalline AgPSe at its relaxed geometry.

The calculation puts the electronic total energy at -3.7237 eV per atom. As for the uncorrected formation energy: 0.19 eV/atom. For the density of states at the Fermi level, the calculation gives 1.786 states/eV per cell. The value obtained for the spin magnetization is 0.0 μB/cell.

The space group is Imm2 (No. 44) and the conventional cell measures 2.877, 4.305 and 11.478 Å, with angles of 90.00, 90.00 and 90.00 degrees. Symmetry generates all atoms from Ag at (0.000, 0.000, 0.000), P at (0.000, 0.000, 0.462) and Se at (0.000, 0.000, 0.266).

DFT (PBE) results for crystalline RbAg2Pd at its relaxed geometry.

The calculation puts the electronic total energy at -2.9487 eV per atom. The formation energy is 17 meV per atom. The energy relative to the lowest polymorph listed for this composition comes out at 0.009 eV per atom. For the density of states at the Fermi level, the calculation gives 5.301 states/eV per cell. The value obtained for the spin magnetization is 0.0 μB/cell.

The space group is R-3m (No. 166, hexagonal axes) and the conventional cell measures 4.7522, 4.7522 and 18.0963 Å, with angles of 90.00, 90.00 and 120.00 degrees. Symmetry generates all atoms from Rb at (0.0000, 0.0000, 0.0000), Ag at (0.0000, 0.0000, 0.1832) and Pd at (0.0000, 0.0000, 0.5000).

DFT (PBE) results for crystalline NdY2Er9 at its relaxed geometry.

The calculation puts the electronic total energy at -4.8707 eV per atom. The formation energy is 26 meV per atom. The energy relative to the lowest polymorph listed for this composition comes out at 0.000 eV per atom. For the density of states at the Fermi level, the calculation gives 17.023 states/eV per cell. The value obtained for the spin magnetization is 0.0 μB/cell.

The space group is P4/mmm (No. 123) and the conventional cell measures 4.997, 4.997 and 14.991 Å, with angles of 90.00, 90.00 and 90.00 degrees. Symmetry generates all atoms from Nd at (0.000, 0.000, 0.000), Y at (0.000, 0.000, 0.334), Er at (0.000, 0.500, 0.168), Er at (0.000, 0.500, 0.500), Er at (0.500, 0.500, 0.000) and Er at (0.500, 0.500, 0.334).

DFT (PBE) results for crystalline Pb2SeBr2 at its relaxed geometry.

The calculation puts the electronic total energy at -3.6149 eV per atom. The energy relative to the lowest polymorph listed for this composition comes out at 0.000 eV per atom. As for the uncorrected formation energy: -0.77 eV/atom. For the density of states at the Fermi level, the calculation gives 0.000 states/eV per cell. The value obtained for the spin magnetization is 0.0 μB/cell.

The space group is R-3m (No. 166, hexagonal axes) and the conventional cell measures 4.4244, 4.4244 and 31.1581 Å, with angles of 90.00, 90.00 and 120.00 degrees. Symmetry generates all atoms from Pb at (0.0000, 0.0000, 0.1091), Se at (0.0000, 0.0000, 0.5000) and Br at (0.0000, 0.0000, 0.2788).

DFT (PBE) results for crystalline HfTlCl6 at its relaxed geometry.

The calculation puts the electronic total energy at -4.2815 eV per atom. As for the uncorrected formation energy: -1.36 eV/atom. For the density of states at the Fermi level, the calculation gives 8.560 states/eV per cell. The value obtained for the spin magnetization is 0.0 μB/cell.

The space group is C2/m (No. 12) and the conventional cell measures 12.027, 7.524 and 6.916 Å, with angles of 90.00, 124.34 and 90.00 degrees. Symmetry generates all atoms from Hf at (0.000, 0.000, 0.000), Tl at (0.000, 0.500, 0.500), Cl at (0.078, 0.229, 0.303) and Cl at (0.225, 0.000, 0.068).

DFT (PBE) results for crystalline Th2SbPdRh5 at its relaxed geometry.

The calculation puts the electronic total energy at -6.9882 eV per atom. As for the uncorrected formation energy: -0.22 eV/atom. For the density of states at the Fermi level, the calculation gives 13.804 states/eV per cell. The value obtained for the spin magnetization is 0.0 μB/cell.

The space group is I4/mcm (No. 140) and the conventional cell measures 8.472, 8.472 and 10.370 Å, with angles of 90.00, 90.00 and 90.00 degrees. Symmetry generates all atoms from Th at (0.141, 0.359, 0.000), Sb at (0.000, 0.000, 0.250), Pd at (0.000, 0.500, 0.250), Rh at (0.000, 0.000, 0.000) and Rh at (0.191, 0.309, 0.363).

DFT (PBE) results for crystalline CsGa2SnSe6 at its relaxed geometry.

The calculation puts the electronic total energy at -3.6681 eV per atom. As for the uncorrected formation energy: -0.49 eV/atom. For the density of states at the Fermi level, the calculation gives 10.218 states/eV per cell. The value obtained for the spin magnetization is 0.0 μB/cell.

The space group is C2/c (No. 15) and the conventional cell measures 13.393, 16.052 and 8.406 Å, with angles of 90.00, 118.64 and 90.00 degrees. Symmetry generates all atoms from Cs at (0.000, 0.111, 0.250), Ga at (0.153, 0.413, 0.067), Sn at (0.000, 0.207, 0.750), Se at (0.030, 0.298, 0.026), Se at (0.102, 0.479, 0.325) and Se at (0.144, 0.087, 0.765).

DFT (PBE) results for crystalline AgRh2 at its relaxed geometry.

The calculation puts the electronic total energy at -5.4644 eV per atom. The formation energy is 387 meV per atom. The energy relative to the lowest polymorph listed for this composition comes out at 0.227 eV per atom. For the density of states at the Fermi level, the calculation gives 9.005 states/eV per cell. The value obtained for the spin magnetization is 6.7 μB/cell.

The space group is P-62m (No. 189) and the conventional cell measures 7.7096, 7.7096 and 2.7302 Å, with angles of 90.00, 90.00 and 120.00 degrees. Symmetry generates all atoms from Ag at (0.0000, 0.0000, 0.0000), Ag at (0.3333, 0.6667, 0.5000), Rh at (0.0000, 0.3113, 0.5000) and Rh at (0.0000, 0.6460, 0.0000).

DFT (PBE) results for crystalline LaSiRu2 at its relaxed geometry.

The calculation puts the electronic total energy at -6.9348 eV per atom. As for the uncorrected formation energy: 0.29 eV/atom. For the density of states at the Fermi level, the calculation gives 18.946 states/eV per cell. The value obtained for the spin magnetization is 5.1 μB/cell.

The space group is F-43m (No. 216) and the conventional cell measures 6.622, 6.622 and 6.622 Å, with angles of 90.00, 90.00 and 90.00 degrees. Symmetry generates all atoms from La at (0.000, 0.000, 0.000), Si at (0.250, 0.250, 0.750), Ru at (0.000, 0.000, 0.500) and Ru at (0.250, 0.250, 0.250).

DFT (PBE) results for crystalline K5Na4Pb2 at its relaxed geometry.

The calculation puts the electronic total energy at -1.6975 eV per atom. The formation energy is -45 meV per atom. For the density of states at the Fermi level, the calculation gives 9.912 states/eV per cell. The value obtained for the spin magnetization is 0.0 μB/cell.

The space group is Immm (No. 71) and the conventional cell measures 6.431, 10.970 and 14.722 Å, with angles of 90.00, 90.00 and 90.00 degrees. Symmetry generates all atoms from K at (0.000, 0.000, 0.000), K at (0.000, 0.170, 0.241), Na at (0.000, 0.310, 0.500), Na at (0.000, 0.500, 0.116) and Pb at (0.000, 0.500, 0.330).

DFT (PBE) results for crystalline Ac6FePt2 at its relaxed geometry.

The calculation puts the electronic total energy at -5.5052 eV per atom. The formation energy is -484 meV per atom. For the density of states at the Fermi level, the calculation gives 17.818 states/eV per cell. The value obtained for the spin magnetization is 0.0 μB/cell.

The space group is P2_1/c (No. 14) and the conventional cell measures 7.206, 7.844 and 12.614 Å, with angles of 90.00, 120.13 and 90.00 degrees. Symmetry generates all atoms from Ac at (0.084, 0.050, 0.243), Ac at (0.248, 0.687, 0.078), Ac at (0.378, 0.179, 0.063), Fe at (0.000, 0.000, 0.000) and Pt at (0.329, 0.113, 0.775).

DFT (PBE) results for crystalline NaPr2Nd at its relaxed geometry.

The calculation puts the electronic total energy at -3.7793 eV per atom. The formation energy is 132 meV per atom. The energy relative to the lowest polymorph listed for this composition comes out at 0.043 eV per atom. For the density of states at the Fermi level, the calculation gives 15.526 states/eV per cell. The value obtained for the spin magnetization is 0.0 μB/cell.

The space group is R-3m (No. 166, hexagonal axes) and the conventional cell measures 3.6275, 3.6275 and 39.2758 Å, with angles of 90.00, 90.00 and 120.00 degrees. Symmetry generates all atoms from Na at (0.0000, 0.0000, 0.0000), Pr at (0.0000, 0.0000, 0.0911) and Nd at (0.0000, 0.0000, 0.5000).

DFT (PBE) results for crystalline Mo2PbC at its relaxed geometry.

The calculation puts the electronic total energy at -7.6885 eV per atom. The formation energy is 960 meV per atom. The energy relative to the lowest polymorph listed for this composition comes out at 0.000 eV per atom. For the density of states at the Fermi level, the calculation gives 5.788 states/eV per cell. The value obtained for the spin magnetization is 0.0 μB/cell.

The space group is I-42d (No. 122) and the conventional cell measures 5.270, 5.270 and 11.408 Å, with angles of 90.00, 90.00 and 90.00 degrees. Symmetry generates all atoms from Mo at (0.093, 0.250, 0.125), Pb at (0.000, 0.000, 0.500) and C at (0.000, 0.000, 0.000).

DFT (PBE) results for crystalline Y2MgCdAg at its relaxed geometry.

The calculation puts the electronic total energy at -3.0895 eV per atom. The formation energy is 568 meV per atom. For the density of states at the Fermi level, the calculation gives 5.708 states/eV per cell. The value obtained for the spin magnetization is 0.0 μB/cell.

The space group is P4/mmm (No. 123) and the conventional cell measures 5.607, 5.607 and 4.908 Å, with angles of 90.00, 90.00 and 90.00 degrees. Symmetry generates all atoms from Y at (0.000, 0.500, 0.000), Mg at (0.000, 0.000, 0.000), Cd at (0.000, 0.000, 0.500) and Ag at (0.500, 0.500, 0.500).

DFT (PBE) results for crystalline Pm4Tl3Te8 at its relaxed geometry.

The calculation puts the electronic total energy at -4.4161 eV per atom. As for the uncorrected formation energy: -1.00 eV/atom. For the density of states at the Fermi level, the calculation gives 11.791 states/eV per cell. The value obtained for the spin magnetization is 0.0 μB/cell.

The space group is C2/m (No. 12) and the conventional cell measures 13.009, 12.873 and 9.078 Å, with angles of 90.00, 134.00 and 90.00 degrees. Symmetry generates all atoms from Pm at (0.000, 0.000, 0.000), Pm at (0.000, 0.000, 0.500), Pm at (0.250, 0.250, 0.000), Tl at (0.000, 0.500, 0.500), Tl at (0.250, 0.250, 0.500), Te at (0.000, 0.243, 0.500), Te at (0.000, 0.248, 0.000), Te at (0.232, 0.000, 0.484) and Te at (0.241, 0.000, 0.987).

DFT (PBE) results for crystalline Ba2NaCdH at its relaxed geometry.

The calculation puts the electronic total energy at -1.5705 eV per atom. The energy relative to the lowest polymorph listed for this composition comes out at 0.564 eV per atom. For the density of states at the Fermi level, the calculation gives 4.032 states/eV per cell. The value obtained for the spin magnetization is 0.0 μB/cell.

The space group is P4/mmm (No. 123) and the conventional cell measures 6.641, 6.641 and 5.611 Å, with angles of 90.00, 90.00 and 90.00 degrees. Symmetry generates all atoms from Ba at (0.000, 0.500, 0.000), Na at (0.000, 0.000, 0.500), Cd at (0.000, 0.000, 0.000) and H at (0.500, 0.500, 0.500).

DFT (PBE) results for crystalline CdIn8Hg2 at its relaxed geometry.

The calculation puts the electronic total energy at -2.0147 eV per atom. The formation energy is 115 meV per atom. For the density of states at the Fermi level, the calculation gives 10.253 states/eV per cell. The value obtained for the spin magnetization is 0.0 μB/cell.

The space group is C2/m (No. 12) and the conventional cell measures 11.961, 8.434 and 6.883 Å, with angles of 90.00, 92.04 and 90.00 degrees. Symmetry generates all atoms from Cd at (0.000, 0.000, 0.000), In at (0.053, 0.500, 0.312), In at (0.129, 0.303, 0.949), In at (0.199, 0.000, 0.285) and Hg at (0.190, 0.000, 0.706).